Cs2KOsS4 after structural relaxation. Source: Alexandria via LeMat-Bulk, functional PBE.

The structure in POSCAR format:
```
Cs2KOsS4
1.0
-4.1355 4.1355 4.3887
4.1355 -4.1355 4.3887
4.1355 4.1355 -4.3887
Cs K Os S
2 1 1 4
direct
0.0000 0.0000 0.0000
0.7500 0.2500 0.5000
0.2500 0.7500 0.5000
0.5000 0.5000 0.0000
0.2195 0.1878 0.6859
0.4664 0.7805 0.9683
0.5019 0.5336 0.3141
0.8122 0.4981 0.0317
```

Calculated values
E_form (uncorrected)	-0.696	eV per atom
magnetic moment	0.13	μB per atom

***

Cs12K6P after structural relaxation. Source: Alexandria via LeMat-Bulk, functional PBE.

The structure in POSCAR format:
```
Cs12K6P
1.0
10.1384 5.8534 5.4904
-10.1384 5.8534 5.4904
0.0000 -11.7068 5.4904
Cs K P
12 6 1
direct
0.1519 0.8368 0.7459
0.1632 0.2541 0.8481
0.2314 0.4223 0.5072
0.2541 0.8481 0.1632
0.4223 0.5072 0.2314
0.4928 0.7686 0.5777
0.5072 0.2314 0.4223
0.5777 0.4928 0.7686
0.7459 0.1519 0.8367
0.7686 0.5777 0.4928
0.8367 0.7459 0.1519
0.8481 0.1632 0.2541
0.0187 0.4850 0.1739
0.1739 0.0187 0.4850
0.4850 0.1739 0.0187
0.5150 0.8261 0.9813
0.8261 0.9813 0.5150
0.9813 0.5150 0.8261
0.5000 0.5000 0.5000
```

Calculated values
formation energy from the elements	20	meV per atom
magnetic moment	0.00	μB per atom

***

Cs8K2P after structural relaxation. Source: Alexandria via LeMat-Bulk, functional PBE.

The structure in POSCAR format:
```
Cs8K2P
1.0
8.3410 -4.9856 0.0000
8.3410 4.9856 0.0000
-3.9609 0.0000 12.4107
Cs K P
8 2 1
direct
0.1875 0.7086 0.8021
0.1999 0.1999 0.9834
0.2914 0.8125 0.1979
0.3459 0.3459 0.4041
0.6541 0.6541 0.5959
0.7086 0.1875 0.8021
0.8001 0.8001 0.0166
0.8125 0.2914 0.1979
0.1391 0.1391 0.5911
0.8609 0.8609 0.4089
0.0000 0.0000 0.0000
```

Calculated values
formation energy from the elements	-60	meV per atom
magnetic moment	0.00	μB per atom

***

Cs2KP after structural relaxation. Source: Alexandria via LeMat-Bulk, functional PBE.

The structure in POSCAR format:
```
Cs2KP
1.0
0.0000 4.3226 4.3226
4.3226 0.0000 4.3226
4.3226 4.3226 0.0000
Cs K P
2 1 1
direct
0.2500 0.2500 0.2500
0.7500 0.7500 0.7500
0.0000 0.0000 0.0000
0.5000 0.5000 0.5000
```

Calculated values
formation energy from the elements	-33	meV per atom
magnetic moment	0.00	μB per atom

***

CsK3P after structural relaxation. Source: Alexandria via LeMat-Bulk, functional PBE.

The structure in POSCAR format:
```
CsK3P
1.0
6.5306 0.0000 0.0000
0.0000 6.5306 0.0000
0.0000 0.0000 6.5306
Cs K P
1 3 1
direct
0.0000 0.0000 0.0000
0.0000 0.5000 0.5000
0.5000 0.0000 0.5000
0.5000 0.5000 0.0000
0.5000 0.5000 0.5000
```

Calculated values
formation energy from the elements	-73	meV per atom
polymorph energy (0 for the lowest one)	0	meV/atom
magnetic moment	0.00	μB per atom

***

Cs2K2P after structural relaxation. Source: Alexandria via LeMat-Bulk, functional PBE.

The structure in POSCAR format:
```
Cs2K2P
1.0
9.0541 0.0000 0.0000
0.0000 9.0541 0.0000
0.0000 0.0000 7.4406
Cs K P
4 4 2
direct
0.1561 0.3439 0.0000
0.3439 0.8439 0.0000
0.6561 0.1561 0.0000
0.8439 0.6561 0.0000
0.1955 0.6955 0.5000
0.3045 0.1955 0.5000
0.6955 0.8045 0.5000
0.8045 0.3045 0.5000
0.0000 0.0000 0.0000
0.5000 0.5000 0.0000
```

Calculated values
formation energy from the elements	149	meV per atom
polymorph energy (0 for the lowest one)	224	meV/atom
magnetic moment	0.20	μB per atom

***

Let's list total DFT energy (no corrections) in order: -36.11; -21.85; -15.09; -8.35; -9.92; -17.13 eV for the cell shown.